1.
The following is a PBE-GGA calculation of a relaxed Nd3SN2 crystal, from the Open Quantum Materials Database.

```
6
Lattice="-1.132 2.785 -2.206 -2.248 -2.905 0.637 -3.670 4.496 7.559" Properties=species:S:1:pos:R:3 pbc="T T T"
Nd -2.966 0.326 1.934
Nd 0.000 0.000 0.000
Nd -4.084 4.048 4.056
N -4.954 2.761 6.028
N -2.096 1.613 -0.038
S -1.835 2.248 3.779
```

Output
size of the total moment = 0.00 μB/cell
electronic total energy = -44.80 eV/cell

=====

2.
The following is a PBE-GGA calculation of a relaxed NdSc2N3 crystal, from the Open Quantum Materials Database.

```
6
Lattice="-2.388 -2.260 -0.561 3.129 -0.992 0.593 -1.614 -0.288 8.031" Properties=species:S:1:pos:R:3 pbc="T T T"
Sc -0.074 -1.658 6.996
Sc -0.799 -1.882 1.067
Nd -0.807 -0.144 4.016
N 0.000 0.000 0.000
N 0.791 -1.504 2.691
N -1.664 -2.037 5.373
```

Output
size of the total moment = 0.00 μB/cell
electronic total energy = -52.04 eV/cell

=====

Question: Which value of electronic total energy does entry 1 give?
Answer: -44.80 eV/cell